1.
This record from OQMD describes a relaxed ErTlPb crystal. The functional is GGA-PBE.

Total energy, eV/atom: -3.49
M_tot, μB/f.u.: 0.0

Geometry as POSCAR:
```
ErTlPb
1.0
0.0000 3.6323 3.6323
3.6323 0.0000 3.6323
3.6323 3.6323 0.0000
Er Tl Pb
1 1 1
direct
0.0000 0.0000 0.0000
0.2500 0.2500 0.2500
0.5000 0.5000 0.5000
```


2.
This record from OQMD describes a relaxed KSmBeTe3 crystal. The functional is GGA-PBE.

Total energy, eV/atom: -4.17
M_tot, μB/f.u.: 0.0

Geometry as POSCAR:
```
KSmBeTe3
1.0
2.1628 -7.9563 0.0000
2.1628 7.9563 0.0000
0.0000 0.0000 11.8597
K Sm Be Te
2 2 2 6
direct
0.2470 0.7530 0.7500
0.7530 0.2470 0.2500
0.5000 0.5000 0.0000
0.5000 0.5000 0.5000
0.0363 0.9637 0.2500
0.9637 0.0363 0.7500
0.1269 0.8731 0.0805
0.1269 0.8731 0.4195
0.4388 0.5612 0.2500
0.5612 0.4388 0.7500
0.8731 0.1269 0.5805
0.8731 0.1269 0.9195
```


3.
This record from OQMD describes a relaxed NiS crystal. The functional is GGA-PBE.

Total energy, eV/atom: -4.67
M_tot, μB/f.u.: 0.0

Geometry as POSCAR:
```
NiS
1.0
2.3753 -2.7557 0.0000
2.3753 2.7557 0.0000
0.0000 0.0000 4.6188
Ni S
2 2
direct
0.0000 0.0000 0.0000
0.5000 0.5000 0.0000
0.2500 0.7500 0.6532
0.7500 0.2500 0.3468
```


4.
This record from OQMD describes a relaxed PaReSi crystal. The functional is GGA-PBE.

Total energy, eV/atom: -9.07
M_tot, μB/f.u.: 0.0

Geometry as POSCAR:
```
PaReSi
1.0
0.0000 3.1655 3.1655
3.1655 0.0000 3.1655
3.1655 3.1655 0.0000
Pa Re Si
1 1 1
direct
0.0000 0.0000 0.0000
0.7500 0.7500 0.7500
0.5000 0.5000 0.5000
```